1.
A plane-wave DFT calculation with PBE-GGA was carried out for an optimized crystal structure of RbZnPRu2.

ΔE_f = 1368.5 meV per atom
V = 112 Å³/cell

abc: 4.8938 4.8938 4.6800
angles: 90.00 90.00 90.00
Fractional positions:
Rb (0.0000, 0.0000, 0.0000)
Zn (0.5000, 0.5000, 0.5000)
P (0.5000, 0.5000, 0.0000)
Ru (0.0000, 0.5000, 0.5000)
Ru (0.5000, 0.0000, 0.5000)



2.
A plane-wave DFT calculation with PBE-GGA was carried out for an optimized crystal structure of Rb3PS4.

formation energy without anion corrections = -1.001 eV per atom
V = 1004 Å³/cell

abc: 9.4427 11.1587 9.5247
angles: 90.00 90.00 90.00
Fractional positions:
Rb (0.0461, 0.0432, 0.2048)
Rb (0.0461, 0.4568, 0.2048)
Rb (0.1478, 0.7500, 0.4171)
Rb (0.3522, 0.2500, 0.9171)
Rb (0.4539, 0.5432, 0.7048)
Rb (0.4539, 0.9568, 0.7048)
Rb (0.5461, 0.0432, 0.2952)
Rb (0.5461, 0.4568, 0.2952)
Rb (0.6478, 0.7500, 0.0829)
Rb (0.8522, 0.2500, 0.5829)
Rb (0.9539, 0.5432, 0.7952)
Rb (0.9539, 0.9568, 0.7952)
P (0.2242, 0.7500, 0.9820)
P (0.2758, 0.2500, 0.4820)
P (0.7242, 0.7500, 0.5180)
P (0.7758, 0.2500, 0.0180)
S (0.0252, 0.7500, 0.0735)
S (0.1692, 0.0972, 0.5422)
S (0.1692, 0.4028, 0.5422)
S (0.2051, 0.7500, 0.7660)
S (0.2949, 0.2500, 0.2660)
S (0.3308, 0.5972, 0.0422)
S (0.3308, 0.9028, 0.0422)
S (0.4748, 0.2500, 0.5735)
S (0.5252, 0.7500, 0.4265)
S (0.6692, 0.0972, 0.9578)
S (0.6692, 0.4028, 0.9578)
S (0.7051, 0.7500, 0.7340)
S (0.7949, 0.2500, 0.2340)
S (0.8308, 0.5972, 0.4578)
S (0.8308, 0.9028, 0.4578)
S (0.9748, 0.2500, 0.9265)



> Which of these has the highest V?

Rb3PS4



> Which value of V does entry 2 give?

1004 Å³/cell



> What is the V in the second record?

1004 Å³/cell



Repeat the second record exactly.
A plane-wave DFT calculation with PBE-GGA was carried out for an optimized crystal structure of Rb3PS4.

formation energy without anion corrections = -1.001 eV per atom
V = 1004 Å³/cell

abc: 9.4427 11.1587 9.5247
angles: 90.00 90.00 90.00
Fractional positions:
Rb (0.0461, 0.0432, 0.2048)
Rb (0.0461, 0.4568, 0.2048)
Rb (0.1478, 0.7500, 0.4171)
Rb (0.3522, 0.2500, 0.9171)
Rb (0.4539, 0.5432, 0.7048)
Rb (0.4539, 0.9568, 0.7048)
Rb (0.5461, 0.0432, 0.2952)
Rb (0.5461, 0.4568, 0.2952)
Rb (0.6478, 0.7500, 0.0829)
Rb (0.8522, 0.2500, 0.5829)
Rb (0.9539, 0.5432, 0.7952)
Rb (0.9539, 0.9568, 0.7952)
P (0.2242, 0.7500, 0.9820)
P (0.2758, 0.2500, 0.4820)
P (0.7242, 0.7500, 0.5180)
P (0.7758, 0.2500, 0.0180)
S (0.0252, 0.7500, 0.0735)
S (0.1692, 0.0972, 0.5422)
S (0.1692, 0.4028, 0.5422)
S (0.2051, 0.7500, 0.7660)
S (0.2949, 0.2500, 0.2660)
S (0.3308, 0.5972, 0.0422)
S (0.3308, 0.9028, 0.0422)
S (0.4748, 0.2500, 0.5735)
S (0.5252, 0.7500, 0.4265)
S (0.6692, 0.0972, 0.9578)
S (0.6692, 0.4028, 0.9578)
S (0.7051, 0.7500, 0.7340)
S (0.7949, 0.2500, 0.2340)
S (0.8308, 0.5972, 0.4578)
S (0.8308, 0.9028, 0.4578)
S (0.9748, 0.2500, 0.9265)